First-principles (SCAN) data for a PBEsol-optimized structure of Tl3SbS4, as listed in Alexandria via LeMat-Bulk.

Unit cell a=6.175 b=6.230 c=11.528 alpha=95.05 beta=99.07 gamma=103.55
Atoms (fractional coordinates):
Tl1 0.051 0.058 0.288
Tl2 0.227 0.777 0.005
Tl3 0.292 0.760 0.489
Tl4 0.708 0.240 0.511
Tl5 0.773 0.223 0.995
Tl6 0.949 0.942 0.712
Sb1 0.440 0.476 0.756
Sb2 0.560 0.524 0.244
S1 0.181 0.549 0.227
S2 0.237 0.303 0.565
S3 0.277 0.294 0.905
S4 0.436 0.854 0.774
S5 0.564 0.146 0.226
S6 0.723 0.706 0.095
S7 0.763 0.697 0.435
S8 0.819 0.451 0.773

DFT total energy in eV per atom: -36.937
SG: No. 2
Total moment in μB/f.u.: 0.00
Crystal system: triclinic

---

First-principles (SCAN) data for a PBEsol-optimized structure of Ti3BeIn, as listed in Alexandria via LeMat-Bulk.

Unit cell a=4.383 b=4.383 c=4.383 alpha=90.00 beta=90.00 gamma=90.00
Atoms (fractional coordinates):
Ti1 0.000 0.000 0.500
Ti2 0.000 0.500 0.000
Ti3 0.500 0.000 0.000
Be1 0.000 0.000 0.000
In1 0.500 0.500 0.500

DFT total energy in eV per atom: -17.125
Energy relative to the elements in eV/atom: 0.04
SG: No. 221
Total moment in μB/f.u.: 0.00
Crystal system: cubic

---

First-principles (SCAN) data for a PBEsol-optimized structure of PdCCl2, as listed in Alexandria via LeMat-Bulk.

Unit cell a=4.334 b=4.334 c=4.334 alpha=60.00 beta=60.00 gamma=60.00
Atoms (fractional coordinates):
Pd1 0.000 0.000 0.000
C1 0.500 0.500 0.500
Cl1 0.250 0.250 0.250
Cl2 0.750 0.750 0.750

DFT total energy in eV per atom: -13.058
SG: No. 225
Total moment in μB/f.u.: 0.00
Crystal system: cubic

---

First-principles (SCAN) data for a PBEsol-optimized structure of Li3CrFe3O8, as listed in Alexandria via LeMat-Bulk.

Unit cell a=5.763 b=5.763 c=5.763 alpha=57.91 beta=57.91 gamma=57.91
Atoms (fractional coordinates):
Li1 0.000 0.500 0.500
Li2 0.500 0.000 0.500
Li3 0.500 0.500 0.000
Cr1 0.500 0.500 0.500
Fe1 0.000 0.000 0.500
Fe2 0.000 0.500 0.000
Fe3 0.500 0.000 0.000
O1 0.238 0.739 0.739
O2 0.242 0.242 0.242
O3 0.261 0.261 0.762
O4 0.261 0.762 0.261
O5 0.739 0.238 0.739
O6 0.739 0.739 0.238
O7 0.758 0.758 0.758
O8 0.762 0.261 0.261

DFT total energy in eV per atom: -10.593
SG: No. 166
Total moment in μB/f.u.: 6.68
Crystal system: trigonal

---

First-principles (SCAN) data for a PBEsol-optimized structure of BaNd2CoS5, as listed in Alexandria via LeMat-Bulk.

Unit cell a=8.594 b=8.594 c=8.594 alpha=126.48 beta=126.48 gamma=79.10
Atoms (fractional coordinates):
Ba1 0.250 0.250 0.000
Ba2 0.750 0.750 0.000
Nd1 0.162 0.662 0.823
Nd2 0.338 0.162 0.500
Nd3 0.662 0.838 0.500
Nd4 0.838 0.338 0.177
Co1 0.250 0.750 0.500
Co2 0.750 0.250 0.500
S1 0.000 0.000 0.000
S2 0.010 0.218 0.500
S3 0.218 0.718 0.208
S4 0.282 0.490 0.500
S5 0.490 0.990 0.208
S6 0.500 0.500 0.000
S7 0.510 0.010 0.792
S8 0.718 0.510 0.500
S9 0.782 0.282 0.792
S10 0.990 0.782 0.500

DFT total energy in eV per atom: -23.324
SG: No. 140
Total moment in μB/f.u.: 2.98
Crystal system: tetragonal

---

First-principles (SCAN) data for a PBEsol-optimized structure of NiRh3Br, as listed in Alexandria via LeMat-Bulk.

Unit cell a=4.472 b=4.472 c=4.472 alpha=90.00 beta=90.00 gamma=90.00
Atoms (fractional coordinates):
Ni1 0.000 0.000 0.000
Rh1 0.000 0.500 0.500
Rh2 0.500 0.000 0.500
Rh3 0.500 0.500 0.000
Br1 0.500 0.500 0.500

DFT total energy in eV per atom: -26.081
SG: No. 221
Total moment in μB/f.u.: 2.38
Crystal system: cubic

---

First-principles (SCAN) data for a PBEsol-optimized structure of CuTe2As, as listed in Alexandria via LeMat-Bulk.

Unit cell a=6.900 b=6.900 c=6.900 alpha=33.41 beta=33.41 gamma=33.41
Atoms (fractional coordinates):
Cu1 0.000 0.000 0.000
Te1 0.257 0.257 0.257
Te2 0.743 0.743 0.743
As1 0.500 0.500 0.500

DFT total energy in eV per atom: -27.436
SG: No. 166
Total moment in μB/f.u.: 0.00
Crystal system: trigonal

---

First-principles (SCAN) data for a PBEsol-optimized structure of Na3Ag3W2O6F6, as listed in Alexandria via LeMat-Bulk.

Unit cell a=9.941 b=9.941 c=9.941 alpha=33.51 beta=33.51 gamma=33.51
Atoms (fractional coordinates):
Na1 0.000 0.000 0.000
Na2 0.367 0.367 0.367
Na3 0.633 0.633 0.633
Ag1 0.132 0.132 0.132
Ag2 0.500 0.500 0.500
Ag3 0.868 0.868 0.868
W1 0.244 0.244 0.244
W2 0.756 0.756 0.756
O1 0.080 0.753 0.519
O2 0.247 0.481 0.920
O3 0.481 0.920 0.247
O4 0.519 0.080 0.753
O5 0.753 0.519 0.080
O6 0.920 0.247 0.481
F1 0.055 0.570 0.261
F2 0.261 0.055 0.570
F3 0.430 0.739 0.945
F4 0.570 0.261 0.055
F5 0.739 0.945 0.430
F6 0.945 0.430 0.739

DFT total energy in eV per atom: -17.385
SG: No. 148
Total moment in μB/f.u.: 0.00
Crystal system: trigonal

---

Which value of DFT total energy does entry 6 give?
-26.081 eV per atom